First-principles (PBE with a Hubbard U) data for a geometry-optimized MnTeI2O structure, as listed in Alexandria.

Summary:
DFT total energy (eV per cell): -19.8
SG: No. 123
Crystal system: tetragonal

Lattice parameters (Å, degrees): 5.919 5.919 3.731 90.00 90.00 90.00
Fractional positions:
Mn: 0.000 0.000 0.000
Te: 0.500 0.500 0.500
I: 0.000 0.500 0.000
I: 0.500 0.000 0.000
O: 0.000 0.000 0.500